Below is crystalline LaTeOs2 at its relaxed geometry, with properties calculated at the PBE level.

Lattice parameters (Å, degrees): 3.9756 4.4927 4.4927 90.00 90.00 90.00
Sites, in units of the cell vectors:
La: 0.5000 0.0000 0.5000
Os: 0.0000 0.0000 0.0000
Os: 0.0000 0.5000 0.5000
Te: 0.5000 0.5000 0.0000

SG = P4/mmm (123)
spin magnetization = 0.0 Bohr magnetons per cell
energy relative to the elements, uncorrected = 0.4803 eV/atom
DOS(E_F) = 4.5 states/eV per cell